Entry 1:
The following is a GGA-PBE calculation of crystalline Al2TcSb at its relaxed geometry, from Alexandria.

Unit cell a=7.782 b=7.782 c=5.258 alpha=90.00 beta=90.00 gamma=90.00
Space group I-42d (No. 122)
Symmetry-distinct sites (fractional):
Al1 0.198 0.250 0.125 x8
Tc1 0.000 0.000 0.000 x4
Sb1 0.000 0.000 0.500 x4

Properties
DFT total energy ... -5.07 eV per atom
Formation energy from raw total energies ... 0.421 eV/atom
Calculated density ... 5.710 g/cm³
Fermi-level density of states ... 13.45 states/eV/cell

---

Entry 2:
The following is a GGA-PBE calculation of crystalline AlTcSb4 at its relaxed geometry, from Alexandria.

Unit cell a=8.693 b=8.693 c=8.693 alpha=90.00 beta=90.00 gamma=90.00
Space group F-43m (No. 216)
Symmetry-distinct sites (fractional):
Al1 0.000 0.000 0.000 x4
Tc1 0.250 0.250 0.250 x4
Sb1 0.125 0.125 0.625 x16

Properties
DFT total energy ... -4.15 eV per atom
Formation energy from raw total energies ... 0.946 eV/atom
Calculated density ... 6.188 g/cm³
Fermi-level density of states ... 22.44 states/eV/cell

---

Entry 3:
The following is a GGA-PBE calculation of crystalline Al2TcSb at its relaxed geometry, from Alexandria.

Unit cell a=3.1316 b=3.1316 c=25.7887 alpha=90.00 beta=90.00 gamma=120.00
Space group R-3m (No. 166, hexagonal axes)
Symmetry-distinct sites (fractional):
Al1 0.0000 0.0000 0.2382 x6
Tc1 0.0000 0.0000 0.5000 x3
Sb1 0.0000 0.0000 0.0000 x3

Properties
DFT total energy ... -5.43 eV per atom
Formation energy from raw total energies ... 0.059 eV/atom
Calculated density ... 6.226 g/cm³
Fermi-level density of states ... 9.34 states/eV/cell

---

Entry 4:
The following is a GGA-PBE calculation of crystalline Al2TcSb at its relaxed geometry, from Alexandria.

Unit cell a=4.124 b=4.124 c=7.972 alpha=90.00 beta=90.00 gamma=90.00
Space group I-4m2 (No. 119)
Symmetry-distinct sites (fractional):
Al1 0.000 0.000 0.000 x2
Al2 0.000 0.500 0.250 x2
Tc1 0.000 0.000 0.500 x2
Sb1 0.000 0.500 0.750 x2

Properties
DFT total energy ... -5.34 eV per atom
Formation energy from raw total energies ... 0.151 eV/atom
Calculated density ... 6.704 g/cm³
Fermi-level density of states ... 2.96 states/eV/cell

---

Entry 5:
The following is a GGA-PBE calculation of crystalline AlTc3Sb at its relaxed geometry, from Alexandria.

Unit cell a=4.501 b=4.501 c=4.501 alpha=90.00 beta=90.00 gamma=90.00
Space group Pm-3m (No. 221)
Symmetry-distinct sites (fractional):
Al1 0.000 0.000 0.000 x1
Tc1 0.000 0.000 0.500 x3
Sb1 0.500 0.500 0.500 x1

Properties
DFT total energy ... -6.69 eV per atom
Formation energy from raw total energies ... 1.105 eV/atom
Excess energy over the best structure of this formula in the dataset ... 0 meV/atom
Calculated density ... 8.061 g/cm³
Fermi-level density of states ... 3.23 states/eV/cell

---

Entry 6:
The following is a GGA-PBE calculation of crystalline Al2TcSb2 at its relaxed geometry, from Alexandria.

Unit cell a=6.892 b=6.892 c=4.584 alpha=90.00 beta=90.00 gamma=90.00
Space group P4/mbm (No. 127)
Symmetry-distinct sites (fractional):
Al1 0.161 0.339 0.000 x4
Tc1 0.000 0.000 0.500 x2
Sb1 0.152 0.652 0.500 x4

Properties
DFT total energy ... -4.78 eV per atom
Formation energy from raw total energies ... 0.437 eV/atom
Excess energy over the best structure of this formula in the dataset ... 58 meV/atom
Calculated density ... 6.031 g/cm³
Fermi-level density of states ... 6.13 states/eV/cell

---

Entry 7:
The following is a GGA-PBE calculation of crystalline Al2TcSb at its relaxed geometry, from Alexandria.

Unit cell a=4.482 b=4.482 c=3.400 alpha=90.00 beta=90.00 gamma=90.00
Space group P4/mmm (No. 123)
Symmetry-distinct sites (fractional):
Al1 0.000 0.500 0.000 x2
Tc1 0.000 0.000 0.500 x1
Sb1 0.500 0.500 0.500 x1

Properties
DFT total energy ... -5.32 eV per atom
Formation energy from raw total energies ... 0.171 eV/atom
Calculated density ... 6.655 g/cm³
Fermi-level density of states ... 2.43 states/eV/cell

---

Entry 8:
The following is a GGA-PBE calculation of crystalline Al2Tc2Sb at its relaxed geometry, from Alexandria.

Unit cell a=6.975 b=6.975 c=3.403 alpha=90.00 beta=90.00 gamma=90.00
Space group P4/mbm (No. 127)
Symmetry-distinct sites (fractional):
Al1 0.139 0.361 0.000 x4
Tc1 0.155 0.655 0.500 x4
Sb1 0.000 0.000 0.500 x2

Properties
DFT total energy ... -6.56 eV per atom
Formation energy from raw total energies ... -0.089 eV/atom
Excess energy over the best structure of this formula in the dataset ... 0 meV/atom
Calculated density ... 7.457 g/cm³
Fermi-level density of states ... 5.91 states/eV/cell

---

Entry 9:
The following is a GGA-PBE calculation of crystalline Al2TcSb at its relaxed geometry, from Alexandria.

Unit cell a=3.1890 b=3.1890 c=25.1693 alpha=90.00 beta=90.00 gamma=120.00
Space group R3m (No. 160, hexagonal axes)
Symmetry-distinct sites (fractional):
Al1 0.0000 0.0000 0.0000 x3
Al2 0.0000 0.0000 0.2476 x3
Tc1 0.0000 0.0000 0.5066 x3
Sb1 0.0000 0.0000 0.7619 x3

Properties
DFT total energy ... -5.37 eV per atom
Formation energy from raw total energies ... 0.124 eV/atom
Calculated density ... 6.151 g/cm³
Fermi-level density of states ... 9.17 states/eV/cell

---

Entry 10:
The following is a GGA-PBE calculation of crystalline Al2TcSb at its relaxed geometry, from Alexandria.

Unit cell a=3.352 b=4.225 c=5.298 alpha=90.00 beta=108.23 gamma=90.00
Space group Pm (No. 6)
Symmetry-distinct sites (fractional):
Al1 0.000 0.000 0.000 x1
Al2 0.425 0.500 0.849 x1
Tc1 0.286 0.000 0.570 x1
Sb1 0.692 0.500 0.378 x1

Properties
DFT total energy ... -5.54 eV per atom
Formation energy from raw total energies ... -0.051 eV/atom
Calculated density ... 6.378 g/cm³
Fermi-level density of states ... 2.52 states/eV/cell

---

Entry 11:
The following is a GGA-PBE calculation of crystalline AlTc2Sb2 at its relaxed geometry, from Alexandria.

Unit cell a=7.401 b=7.401 c=3.371 alpha=90.00 beta=90.00 gamma=90.00
Space group P4/mbm (No. 127)
Symmetry-distinct sites (fractional):
Al1 0.000 0.000 0.000 x2
Tc1 0.147 0.353 0.000 x4
Sb1 0.153 0.653 0.500 x4

Properties
DFT total energy ... -6.36 eV per atom
Formation energy from raw total energies ... 0.183 eV/atom
Calculated density ... 8.391 g/cm³
Fermi-level density of states ... 9.03 states/eV/cell

---

Entry 12:
The following is a GGA-PBE calculation of crystalline Al2TcSb at its relaxed geometry, from Alexandria.

Unit cell a=3.421 b=3.421 c=5.902 alpha=90.00 beta=90.00 gamma=90.00
Space group P4mm (No. 99)
Symmetry-distinct sites (fractional):
Al1 0.000 0.000 0.000 x1
Al2 0.500 0.500 0.244 x1
Tc1 0.500 0.500 0.806 x1
Sb1 0.000 0.000 0.522 x1

Properties
DFT total energy ... -5.45 eV per atom
Formation energy from raw total energies ... 0.045 eV/atom
Calculated density ... 6.579 g/cm³
Fermi-level density of states ... 2.39 states/eV/cell

---

Entry 13:
The following is a GGA-PBE calculation of crystalline Al3TcSb at its relaxed geometry, from Alexandria.

Unit cell a=4.797 b=4.797 c=4.797 alpha=90.00 beta=90.00 gamma=90.00
Space group Pm-3m (No. 221)
Symmetry-distinct sites (fractional):
Al1 0.000 0.000 0.500 x3
Tc1 0.000 0.000 0.000 x1
Sb1 0.500 0.500 0.500 x1

Properties
DFT total energy ... -4.76 eV per atom
Formation energy from raw total energies ... 0.385 eV/atom
Excess energy over the best structure of this formula in the dataset ... 0 meV/atom
Calculated density ... 4.524 g/cm³
Fermi-level density of states ... 4.88 states/eV/cell

---

Entry 14:
The following is a GGA-PBE calculation of crystalline AlTc4Sb at its relaxed geometry, from Alexandria.

Unit cell a=7.377 b=7.377 c=7.377 alpha=90.00 beta=90.00 gamma=90.00
Space group F-43m (No. 216)
Symmetry-distinct sites (fractional):
Al1 0.000 0.000 0.000 x4
Tc1 0.125 0.125 0.375 x16
Sb1 0.250 0.250 0.750 x4

Properties
DFT total energy ... -7.87 eV per atom
Formation energy from raw total energies ... 0.348 eV/atom
Calculated density ... 8.946 g/cm³
Fermi-level density of states ... 28.57 states/eV/cell